1.
Pr4In5S13 | GGA-PBE | optimized geometry

The total energy comes out at -226.5 eV per cell.

The structure belongs to space group Pbam (No. 55); the cell edges are 11.990, 21.705 and 3.992 Å and the angles 90.00°, 90.00° and 90.00°. The distinct sites, in fractional coordinates, are Pr at (0.020, 0.169, 0.000), Pr at (0.169, 0.343, 0.000), In at (0.000, 0.500, 0.000), In at (0.152, 0.670, 0.500), In at (0.155, 0.993, 0.500), S at (0.000, 0.000, 0.000), S at (0.002, 0.409, 0.500), S at (0.078, 0.262, 0.500), S at (0.151, 0.868, 0.500), S at (0.164, 0.113, 0.500), S at (0.170, 0.739, 0.000) and S at (0.203, 0.478, 0.000).


2.
GdPaMo | GGA-PBE | optimized geometry

The value obtained for the formation energy is 504 meV per atom.

The structure belongs to space group F-43m (No. 216); the cell edges are 6.822, 6.822 and 6.822 Å and the angles 90.00°, 90.00° and 90.00°. The distinct sites, in fractional coordinates, are Gd at (0.000, 0.000, 0.000), Pa at (0.000, 0.000, 0.500) and Mo at (0.250, 0.250, 0.250).


3.
Te3MoSeI | GGA-PBE | optimized geometry

The total energy comes out at -53.6 eV per cell.

The structure belongs to space group P-1 (No. 2); the cell edges are 6.820, 8.486 and 8.604 Å and the angles 104.55°, 113.27° and 98.65°. The distinct sites, in fractional coordinates, are Te at (0.079, 0.265, 0.057), Te at (0.163, 0.092, 0.292), Te at (0.347, 0.724, 0.794), Mo at (0.284, 0.999, 0.000), Se at (0.454, 0.165, 0.847) and I at (0.152, 0.729, 0.404).


4.
Tb5SiTe4 | GGA-PBE | optimized geometry

The total energy comes out at -107.9 eV per cell.

The structure belongs to space group I4/m (No. 87); the cell edges are 9.729, 9.729 and 6.106 Å and the angles 90.00°, 90.00° and 90.00°. The distinct sites, in fractional coordinates, are Tb at (0.000, 0.000, 0.000), Tb at (0.095, 0.272, 0.500), Si at (0.000, 0.000, 0.500) and Te at (0.092, 0.306, 0.000).


The records above give, respectively, theoretical density values of 4.97, 10.13, 5.35, 7.66 g/cm3.